Record 1
AlSIN2 PBE relaxed; calculated volume = 18.49 Å³/atom; Fermi-level density of states = 3.96 states/eV/cell; total DFT energy (no corrections) = -21.3 eV for the cell shown; energy above the most stable polymorph in this dataset = 0.0 meV per atom; formation energy without anion corrections = 0.946 eV per atom
1.0
-1.3435 2.1394 -2.8014
-3.5032 -0.4784 1.3147
0.6723 5.2871 3.7153
I S Al N
1 1 1 2
Direct
0.5000 0.5000 0.5000 I
0.0000 0.0000 0.5000 S
0.0000 0.0000 0.0000 Al
0.0000 0.5000 0.0000 N
0.5000 0.0000 0.0000 N



Record 2
AlS2IN PBE relaxed; calculated volume = 17.89 Å³/atom; Fermi-level density of states = 3.65 states/eV/cell; total DFT energy (no corrections) = -19.3 eV for the cell shown; energy above the most stable polymorph in this dataset = 0.0 meV per atom; formation energy without anion corrections = 0.505 eV per atom
1.0
4.9676 0.0000 0.0000
0.0000 4.9676 0.0000
0.0000 0.0000 3.6255
I S Al N
1 2 1 1
Direct
0.5000 0.5000 0.5000 I
0.0000 0.5000 0.0000 S
0.5000 0.0000 0.0000 S
0.0000 0.0000 0.0000 Al
0.0000 0.0000 0.5000 N



Record 3
AlSIN2 PBE relaxed; calculated volume = 17.18 Å³/atom; Fermi-level density of states = 2.00 states/eV/cell; total DFT energy (no corrections) = -17.8 eV for the cell shown; energy above the most stable polymorph in this dataset = 708.2 meV per atom; formation energy without anion corrections = 1.654 eV per atom
1.0
-1.8842 -2.7019 2.2153
1.2368 -2.8696 -2.4481
4.4879 -0.6480 3.0268
I S Al N
1 1 1 2
Direct
0.0000 0.0000 0.0000 I
0.0000 0.0000 0.5000 S
0.5000 0.5000 0.5000 Al
0.0000 0.5000 0.0000 N
0.5000 0.0000 0.0000 N



Record 4
AlSIN2 PBE relaxed; calculated volume = 19.00 Å³/atom; Fermi-level density of states = 2.71 states/eV/cell; total DFT energy (no corrections) = -17.8 eV for the cell shown; energy above the most stable polymorph in this dataset = 700.2 meV per atom; formation energy without anion corrections = 1.646 eV per atom
1.0
-2.9762 2.3065 -0.1768
-0.8421 -1.3485 -3.4178
-3.8222 -4.7171 2.8028
I S Al N
1 1 1 2
Direct
0.0000 0.0000 0.5000 I
0.0000 0.0000 0.0000 S
0.5000 0.5000 0.5000 Al
0.0000 0.5000 0.0000 N
0.5000 0.0000 0.0000 N



Record 5
ScAlI2N PBE relaxed; calculated volume = 23.66 Å³/atom; Fermi-level density of states = 2.87 states/eV/cell; total DFT energy (no corrections) = -21.9 eV for the cell shown; energy above the most stable polymorph in this dataset = 45.2 meV per atom; formation energy without anion corrections = -0.076 eV per atom
1.0
5.7795 0.0000 0.0000
0.0000 5.7795 0.0000
0.0000 0.0000 3.5415
I Sc Al N
2 1 1 1
Direct
0.0000 0.5000 0.0000 I
0.5000 0.0000 0.0000 I
0.5000 0.5000 0.5000 Sc
0.0000 0.0000 0.0000 Al
0.0000 0.0000 0.5000 N



Record 6
ScAlIN2 PBE relaxed; calculated volume = 16.57 Å³/atom; Fermi-level density of states = 2.65 states/eV/cell; total DFT energy (no corrections) = -26.2 eV for the cell shown; energy above the most stable polymorph in this dataset = 0.0 meV per atom; formation energy without anion corrections = 0.408 eV per atom
1.0
-0.5180 3.0449 -2.4044
1.2442 -2.1672 -3.0126
-5.0781 -1.6071 -0.9412
I Sc Al N
1 1 1 2
Direct
0.0000 0.0000 0.5000 I
0.5000 0.5000 0.5000 Sc
0.0000 0.0000 0.0000 Al
0.0000 0.5000 0.0000 N
0.5000 0.0000 0.0000 N



Question: formation energy without anion corrections of number 5 (ScAlI2N)?
Answer: -0.076 eV per atom



Question: What is the total DFT energy (no corrections) in the first record?
Answer: -21.3 eV for the cell shown



Question: Which value of formation energy without anion corrections does entry 1 give?
Answer: 0.946 eV per atom



Question: Which of these has the highest formation energy without anion corrections?
Answer: number 3